Compound: Li4Cr5SbO12
Source: the Alexandria database
Functional: PBE with a Hubbard U
Structure: relaxed

Properties
Electronic total energy, eV per atom: -6.861
Crystal system: monoclinic

abc: 5.2472 5.2502 10.4841
angles: 85.62 81.20 60.02
Closest atoms and distances in Å follow each position.
Positions (direct):
1 Cr 0.1632 0.6735 0.0000  6 O 2.02-2.08
2 Cr 0.8368 0.3265 0.0000  6 O 2.02-2.08
3 Cr 0.6652 0.6697 0.5000  6 O 2.01-2.04
4 Cr 0.5000 0.0000 0.0000  6 O 2.00-2.08
5 Cr 0.3348 0.3303 0.5000  6 O 2.01-2.04
6 O 0.3014 0.0000 0.5961  1 Sb 2.00, 2 Cr 2.01
7 O 0.8537 0.0000 0.8961  3 Cr 2.00-2.06, 2 Li 2.04
8 O 0.1463 0.0000 0.1039  3 Cr 2.00-2.06, 2 Li 2.04
9 O 0.5435 0.6548 0.8970  3 Cr 2.02-2.08, 2 Li 2.03
10 O 0.3627 0.6670 0.3998  1 Li 1.99, 1 Sb 2.03, 2 Cr 2.04
11 O 0.4565 0.3452 0.1030  3 Cr 2.02-2.08, 2 Li 2.03
12 O 0.0297 0.3330 0.3998  1 Li 1.99, 1 Sb 2.03, 2 Cr 2.04
13 O 0.6986 0.0000 0.4039  1 Sb 2.00, 2 Cr 2.01
14 O 0.6373 0.3330 0.6002  1 Li 1.99, 1 Sb 2.03, 2 Cr 2.04
15 O 0.1983 0.3452 0.8970  3 Cr 2.02-2.08, 2 Li 2.03
16 O 0.9703 0.6670 0.6002  1 Li 1.99, 1 Sb 2.03, 2 Cr 2.04
17 O 0.8017 0.6548 0.1030  3 Cr 2.02-2.08, 2 Li 2.03
18 Li 0.8974 0.6632 0.7922  4 O 1.99-2.04
19 Li 0.1026 0.3368 0.2078  4 O 1.99-2.04
20 Li 0.4394 0.6632 0.2078  4 O 1.99-2.04
21 Li 0.5606 0.3368 0.7922  4 O 1.99-2.04
22 Sb 0.0000 0.0000 0.5000  6 O 2.00-2.03